# 1
# Cs2PuRuO6

A geometry-optimized Cs2PuRuO6 structure (PBE, the Alexandria database).

Unit cell a=5.9611 b=5.9611 c=5.9611 alpha=120.03 beta=120.03 gamma=89.95
Sites, in units of the cell vectors:
1 Cs 0.2500 0.7500 0.5000
2 Cs 0.7500 0.2500 0.5000
3 Pu 0.0000 0.0000 0.0000
4 Ru 0.5000 0.5000 0.0000
5 O 0.2549 0.2549 0.5098
6 O 0.2549 0.7451 0.0000
7 O 0.2558 0.2558 0.0000
8 O 0.7442 0.7442 0.0000
9 O 0.7451 0.2549 0.0000
10 O 0.7451 0.7451 0.4902

Summary:
SG	I4/mmm (139)
magnetization	0.001	μB/atom
raw total energy	-71.91	eV per cell
energy relative to the elements, uncorrected	-1.685	eV per atom

# 2
# Sm3MgSn12

A geometry-optimized Sm3MgSn12 structure (PBE, the Alexandria database).

Unit cell a=4.7041 b=4.7041 c=19.2125 alpha=90.00 beta=90.00 gamma=90.00
Sites, in units of the cell vectors:
1 Sm 0.0000 0.0000 0.0000
2 Sm 0.0000 0.0000 0.2453
3 Sm 0.0000 0.0000 0.7547
4 Mg 0.0000 0.0000 0.5000
5 Sn 0.0000 0.5000 0.1244
6 Sn 0.0000 0.5000 0.3784
7 Sn 0.0000 0.5000 0.6216
8 Sn 0.0000 0.5000 0.8756
9 Sn 0.5000 0.0000 0.1244
10 Sn 0.5000 0.0000 0.3784
11 Sn 0.5000 0.0000 0.6216
12 Sn 0.5000 0.0000 0.8756
13 Sn 0.5000 0.5000 0.0000
14 Sn 0.5000 0.5000 0.2530
15 Sn 0.5000 0.5000 0.5000
16 Sn 0.5000 0.5000 0.7470

Summary:
SG	P4/mmm (123)
magnetization	0.000	μB/atom
raw total energy	-69.60	eV per cell
energy relative to the elements	-0.36	eV per atom

# 3
# Ba2CuPb

A geometry-optimized Ba2CuPb structure (PBE, the Alexandria database).

Unit cell a=5.7351 b=5.7351 c=5.7351 alpha=60.00 beta=60.00 gamma=60.00
Sites, in units of the cell vectors:
1 Ba 0.0000 0.0000 0.0000
2 Ba 0.2500 0.2500 0.2500
3 Cu 0.5000 0.5000 0.5000
4 Pb 0.7500 0.7500 0.7500

Summary:
SG	F-43m (216)
magnetization	0.000	μB/atom
raw total energy	-11.56	eV per cell
energy relative to the elements	0.02	eV per atom

> Which of these has the highest raw total energy?

Ba2CuPb